Density functional theory data (PBE with a Hubbard U) for PmCr2TeO8 after structural relaxation.

Values from the calculation:
Density in Mg/m³: 5.71
Final energy in eV/cell: -83.38

a = 4.670 Å, b = 4.670 Å, c = 6.723 Å
α = 89.98°, β = 89.98°, γ = 89.57°
Each line ends with the local moment (μB).
Element x y z (fractional)
O1 0.661 0.661 0.500  0.14
O2 0.197 0.804 0.786  -0.02
O3 0.301 0.301 0.000  -0.07
O4 0.803 0.197 0.786  -0.02
O5 0.699 0.699 0.000  -0.07
O6 0.803 0.196 0.214  -0.02
Pm1 0.000 0.000 0.500  0.04
Cr1 0.500 0.500 0.233  2.94
Cr2 0.500 0.500 0.767  2.94
O7 0.197 0.803 0.214  -0.02
O8 0.339 0.339 0.500  0.14
Te1 0.000 0.000 0.000  0.01